[1]
! InSnCl3 PBE-GGA relaxed; values from VASP
! - symmetry = P2_1/c
! - D(E_F) (states/eV per cell) = 0.00
! - raw formation energy (eV per atom) = -0.93
! - magnetization (μB per atom) = 0.000
! - calculated total energy (Ry per atom) = -0.24903
&SYSTEM
  ibrav = 0, nat = 20, ntyp = 3
/
ATOMIC_SPECIES
Sn 118.71 Sn.upf
Cl 35.45 Cl.upf
In 114.82 In.upf
CELL_PARAMETERS angstrom
-7.705 16.913 -20.414
-1.065 -5.346 -4.027
-0.635 -6.023 8.162
ATOMIC_POSITIONS crystal
Sn 0.621 0.253 0.257
Sn 0.879 0.753 0.243
Sn 0.121 0.247 0.757
Sn 0.379 0.747 0.743
Cl 0.942 0.421 0.527
Cl 0.846 0.071 0.920
Cl 0.058 0.579 0.473
Cl 0.346 0.429 0.420
Cl 0.725 0.872 0.062
Cl 0.154 0.929 0.080
Cl 0.442 0.079 0.027
Cl 0.275 0.128 0.938
Cl 0.654 0.571 0.580
Cl 0.225 0.628 0.562
Cl 0.558 0.921 0.973
Cl 0.775 0.372 0.438
In 0.133 0.199 0.306
In 0.867 0.801 0.694
In 0.367 0.699 0.194
In 0.633 0.301 0.806

[2]
! AcBP2 PBE-GGA relaxed; values from VASP
! - symmetry = I-4m2
! - D(E_F) (states/eV per cell) = 1.49
! - magnetization (μB per atom) = 0.000
! - calculated total energy (Ry per atom) = -0.42492
&SYSTEM
  ibrav = 0, nat = 4, ntyp = 3
/
ATOMIC_SPECIES
P 30.97 P.upf
Ac 227.00 Ac.upf
B 10.81 B.upf
CELL_PARAMETERS angstrom
-0.660 2.951 1.962
-2.667 -1.728 1.700
5.344 -2.411 2.117
ATOMIC_POSITIONS crystal
P 0.878 0.537 0.540
P 0.565 0.225 0.916
Ac 0.221 0.881 0.228
B 0.471 0.631 0.728

[3]
! Tb2Pr2Dy4Tm PBE-GGA relaxed; values from VASP
! - symmetry = C2/m
! - D(E_F) (states/eV per cell) = 12.10
! - magnetization (μB per atom) = 0.000
! - calculated total energy (Ry per atom) = -0.34044
&SYSTEM
  ibrav = 0, nat = 9, ntyp = 4
/
ATOMIC_SPECIES
Pr 140.91 Pr.upf
Tb 158.93 Tb.upf
Dy 162.50 Dy.upf
Tm 168.93 Tm.upf
CELL_PARAMETERS angstrom
-1.370 -0.162 3.338
4.617 -8.326 -0.462
5.383 7.509 2.574
ATOMIC_POSITIONS crystal
Pr 0.665 0.330 0.999
Pr 0.335 0.670 0.001
Tb 0.147 0.294 0.662
Tb 0.853 0.706 0.338
Dy 0.481 0.961 0.666
Dy 0.815 0.629 0.664
Dy 0.185 0.371 0.336
Dy 0.519 0.039 0.334
Tm 0.000 0.000 0.000

[4]
! Na3HRu PBE-GGA relaxed; values from VASP
! - symmetry = Pm-3m
! - D(E_F) (states/eV per cell) = 20.93
! - magnetization (μB per atom) = 0.400
! - calculated total energy (Ry per atom) = -0.15407
&SYSTEM
  ibrav = 0, nat = 5, ntyp = 3
/
ATOMIC_SPECIES
Ru 101.07 Ru.upf
Na 22.99 Na.upf
H 1.01 H.upf
CELL_PARAMETERS angstrom
-1.149 2.772 4.816
-3.768 -4.003 1.405
4.085 -2.914 2.651
ATOMIC_POSITIONS crystal
Ru 0.000 0.000 0.000
Na 0.500 0.000 0.000
Na 0.000 0.000 0.500
Na 0.000 0.500 0.000
H 0.500 0.500 0.500

[5]
! Y6SiAs2S3 PBE-GGA relaxed; values from VASP
! - symmetry = C2/m
! - D(E_F) (states/eV per cell) = 3.42
! - raw formation energy (eV per atom) = -1.68
! - magnetization (μB per atom) = 0.000
! - calculated total energy (Ry per atom) = -0.52728
&SYSTEM
  ibrav = 0, nat = 12, ntyp = 4
/
ATOMIC_SPECIES
S 32.06 S.upf
Y 88.91 Y.upf
As 74.92 As.upf
Si 28.09 Si.upf
CELL_PARAMETERS angstrom
-3.971 -0.749 0.109
1.409 -6.897 3.916
1.068 6.190 6.468
ATOMIC_POSITIONS crystal
S 0.500 0.500 0.000
S 0.832 0.167 0.664
S 0.168 0.833 0.336
Y 0.001 0.755 0.001
Y 0.664 0.081 0.328
Y 0.336 0.919 0.672
Y 0.334 0.417 0.667
Y 0.999 0.245 0.999
Y 0.666 0.583 0.333
As 0.833 0.666 0.666
As 0.167 0.334 0.334
Si 0.500 0.000 0.000

[6]
! Pm2NpAs4Rh3 PBE-GGA relaxed; values from VASP
! - symmetry = P-4m2
! - D(E_F) (states/eV per cell) = 10.27
! - magnetization (μB per atom) = 0.369
! - calculated total energy (Ry per atom) = -0.52040
&SYSTEM
  ibrav = 0, nat = 10, ntyp = 4
/
ATOMIC_SPECIES
Rh 102.91 Rh.upf
As 74.92 As.upf
Pm 145.00 Pm.upf
Np 237.00 Np.upf
CELL_PARAMETERS angstrom
-2.276 -3.381 -1.358
1.017 -2.127 3.591
-9.046 4.087 4.983
ATOMIC_POSITIONS crystal
Rh 0.000 0.500 0.110
Rh 0.000 0.000 0.500
Rh 0.500 0.000 0.890
As 0.500 0.000 0.669
As 0.500 0.500 0.000
As 0.000 0.500 0.331
As 0.000 0.000 0.000
Pm 0.500 0.000 0.221
Pm 0.000 0.500 0.779
Np 0.500 0.500 0.500

[7]
! SrGa9Ir2 PBE-GGA relaxed; values from VASP
! - symmetry = I4_1/amd
! - D(E_F) (states/eV per cell) = 6.14
! - magnetization (μB per atom) = 0.000
! - calculated total energy (Ry per atom) = -0.30897
&SYSTEM
  ibrav = 0, nat = 24, ntyp = 3
/
ATOMIC_SPECIES
Ga 69.72 Ga.upf
Sr 87.62 Sr.upf
Ir 192.22 Ir.upf
CELL_PARAMETERS angstrom
2.704 -1.157 7.071
5.148 -6.565 1.104
7.247 3.784 1.995
ATOMIC_POSITIONS crystal
Ga 0.732 0.584 0.826
Ga 0.309 0.674 0.084
Ga 0.143 0.174 0.416
Ga 0.607 0.326 0.084
Ga 0.018 0.916 0.674
Ga 0.607 0.084 0.326
Ga 0.732 0.826 0.584
Ga 0.684 0.584 0.174
Ga 0.684 0.174 0.584
Ga 0.143 0.416 0.174
Ga 0.309 0.084 0.674
Ga 0.018 0.674 0.916
Ga 0.750 0.500 0.500
Ga 0.000 0.000 0.000
Ga 0.441 0.826 0.416
Ga 0.066 0.326 0.916
Ga 0.441 0.416 0.826
Ga 0.066 0.916 0.326
Sr 0.500 0.000 0.000
Sr 0.250 0.500 0.500
Ir 0.375 0.750 0.750
Ir 0.875 0.750 0.250
Ir 0.875 0.250 0.750
Ir 0.875 0.250 0.250

[8]
! TbGa8Ir2 PBE-GGA relaxed; values from VASP
! - symmetry = P4/mmm
! - D(E_F) (states/eV per cell) = 5.32
! - magnetization (μB per atom) = 0.000
! - calculated total energy (Ry per atom) = -0.32658
&SYSTEM
  ibrav = 0, nat = 11, ntyp = 3
/
ATOMIC_SPECIES
Ga 69.72 Ga.upf
Ir 192.22 Ir.upf
Tb 158.93 Tb.upf
CELL_PARAMETERS angstrom
-4.172 -3.747 2.870
4.599 -4.086 1.351
0.896 2.533 4.609
ATOMIC_POSITIONS crystal
Ga 0.210 0.210 0.748
Ga 0.790 0.790 0.252
Ga 0.210 0.790 0.748
Ga 0.790 0.210 0.748
Ga 0.790 0.210 0.252
Ga 0.210 0.210 0.252
Ga 0.210 0.790 0.252
Ga 0.790 0.790 0.748
Ir 0.000 0.500 0.000
Ir 0.500 0.000 0.000
Tb 0.500 0.500 0.500